1.
First-principles (PBE) data for a geometry-optimized Sc2Ga2Ag structure, as listed in the Open Quantum Materials Database.

```
data_Sc2Ga2Ag
_chemical_formula_sum 'Sc4 Ga4 Ag2'
_cell_length_a 3.872
_cell_length_b 3.872
_cell_length_c 13.098
_cell_angle_alpha 90.00
_cell_angle_beta 90.00
_cell_angle_gamma 90.00
_symmetry_space_group_name_H-M 'I 4/m m m'
_symmetry_Int_Tables_number 139
_symmetry_space_group_name_Hall '-I 4 2'
loop_
_atom_site_label
_atom_site_type_symbol
_atom_site_fract_x
_atom_site_fract_y
_atom_site_fract_z
_atom_site_occupancy
Sc1 Sc 0.000 0.000 0.101 1
Ga1 Ga 0.000 0.500 0.250 1
Ag1 Ag 0.000 0.000 0.500 1
```

Summary:
calculated density	5.70	g/cm3
relative energy among the computed polymorphs	570	meV/atom
size of the total moment	0.029	μB per cell


2.
First-principles (PBE) data for a geometry-optimized NbHgMo structure, as listed in the Open Quantum Materials Database.

```
data_NbHgMo
_chemical_formula_sum 'Nb4 Hg4 Mo4'
_cell_length_a 6.381
_cell_length_b 6.381
_cell_length_c 6.381
_cell_angle_alpha 90.00
_cell_angle_beta 90.00
_cell_angle_gamma 90.00
_symmetry_space_group_name_H-M 'F -4 3 m'
_symmetry_Int_Tables_number 216
_symmetry_space_group_name_Hall 'F -4 2 3'
loop_
_atom_site_label
_atom_site_type_symbol
_atom_site_fract_x
_atom_site_fract_y
_atom_site_fract_z
_atom_site_occupancy
Nb1 Nb 0.000 0.000 0.000 1
Hg1 Hg 0.250 0.250 0.750 1
Mo1 Mo 0.250 0.250 0.250 1
```

Summary:
calculated density	9.96	g/cm3
ΔH_f (0 K)	107.0	kJ per mole of atoms
size of the total moment	0.017	μB per cell